Zn2IrRh: relaxed, PBE.

Summary:
N(E_F) = 3.8 states/eV/cell
formation enthalpy at 0 K = -0.5 eV/f.u.
V = 14.08 A^3/atom
mass density = 12560 kg/m³
VASP energy = -4.827 eV per atom

a b c (Å): 2.734 4.151 5.144
angles (deg): 90.00 105.29 90.00
Space group Pm (No. 6)
Unique sites:
Zn1 0.000 0.000 0.000 (multiplicity 1)
Zn2 0.144 0.500 0.287 (multiplicity 1)
Ir1 0.742 0.000 0.485 (multiplicity 1)
Rh1 0.400 0.500 0.800 (multiplicity 1)

=====

K2BaMnBr8: relaxed, PBE.

Summary:
E_form (uncorrected) = -1305 meV/atom
V = 37.19 A^3/atom
mass density = 3385 kg/m³
VASP energy = -3.528 eV per atom

a b c (Å): 6.242 9.294 8.218
angles (deg): 90.00 110.61 90.00
Space group P2/m (No. 10)
Unique sites:
K1 0.000 0.242 0.000 (multiplicity 2)
Ba1 0.000 0.500 0.500 (multiplicity 1)
Mn1 0.000 0.000 0.500 (multiplicity 1)
Br1 0.226 0.000 0.312 (multiplicity 2)
Br2 0.250 0.191 0.687 (multiplicity 4)
Br3 0.289 0.500 0.243 (multiplicity 2)

=====

ReAu: relaxed, PBE.

Summary:
N(E_F) = 3.0 states/eV/cell
formation enthalpy at 0 K = 0.5 eV/f.u.
distance to the lowest polymorph of the same formula = 110 meV/atom
V = 16.68 A^3/atom
mass density = 19076 kg/m³
VASP energy = -7.608 eV per atom

a b c (Å): 2.851 2.851 8.205
angles (deg): 90.00 90.00 90.00
Space group P4/nmm (No. 129, origin choice 2)
Unique sites:
Re1 0.250 0.250 0.102 (multiplicity 2)
Au1 0.250 0.250 0.637 (multiplicity 2)

=====

Sr3Ac3SmTe8: relaxed, PBE.

Summary:
N(E_F) = 16.3 states/eV/cell
E_form (uncorrected) = -1591 meV/atom
V = 39.45 A^3/atom
mass density = 5935 kg/m³
VASP energy = -4.740 eV per atom

a b c (Å): 9.3863 9.3863 23.2669
angles (deg): 90.00 90.00 120.00
Space group R-3m (No. 166, hexagonal axes)
Unique sites:
Sr1 0.0000 0.5000 0.0000 (multiplicity 9)
Ac1 0.0000 0.5000 0.5000 (multiplicity 9)
Sm1 0.0000 0.0000 0.5000 (multiplicity 3)
Te1 0.0000 0.0000 0.2513 (multiplicity 6)
Te2 0.0123 0.5061 0.2471 (multiplicity 18)

=====

Pm2Al4GaRh3: relaxed, PBE.

Summary:
N(E_F) = 7.3 states/eV/cell
formation enthalpy at 0 K = -7.7 eV/f.u.
V = 18.77 A^3/atom
mass density = 6869 kg/m³
VASP energy = -5.724 eV per atom

a b c (Å): 4.186 4.186 10.711
angles (deg): 90.00 90.00 90.00
Space group P-4m2 (No. 115)
Unique sites:
Pm1 0.000 0.500 0.250 (multiplicity 2)
Al1 0.000 0.000 0.000 (multiplicity 1)
Al2 0.000 0.500 0.636 (multiplicity 2)
Al3 0.500 0.500 0.000 (multiplicity 1)
Ga1 0.000 0.000 0.500 (multiplicity 1)
Rh1 0.000 0.500 0.871 (multiplicity 2)
Rh2 0.500 0.500 0.500 (multiplicity 1)

=====

AcPu2Ru: relaxed, PBE.

Summary:
N(E_F) = 45.3 states/eV/cell
formation enthalpy at 0 K = 1.0 eV/f.u.
distance to the lowest polymorph of the same formula = 184 meV/atom
V = 31.38 A^3/atom
mass density = 10796 kg/m³
VASP energy = -10.255 eV per atom

a b c (Å): 3.7782 3.7782 30.4608
angles (deg): 90.00 90.00 120.00
Space group R-3m (No. 166, hexagonal axes)
Unique sites:
Ac1 0.0000 0.0000 0.0000 (multiplicity 3)
Pu1 0.0000 0.0000 0.1135 (multiplicity 6)
Ru1 0.0000 0.0000 0.5000 (multiplicity 3)